VASP calculation (PBE-GGA) on Y3SiS after structural relaxation.

Computed properties:
SG ... Pm-3m, No. 221
Polymorph energy (0 for the lowest one) ... 0.0 meV per atom

```
5
Lattice="-0.068 -2.644 4.353 5.081 0.262 0.239 -0.348 4.345 2.634" Properties=species:S:1:pos:R:3 pbc="T T T"
Y 2.540 0.131 0.120
Y -0.174 2.173 1.317
Y -0.034 -1.322 2.176
S 0.000 0.000 0.000
Si 2.332 0.982 3.613
```

---

VASP calculation (PBE-GGA) on Y7SiS5 after structural relaxation.

Computed properties:
SG ... Cmcm, No. 63

```
26
Lattice="-1.553 -3.221 -1.659 5.001 -2.047 3.977 -14.852 -1.942 17.674" Properties=species:S:1:pos:R:3 pbc="T T T"
Y 0.224 -3.894 7.351
Y -11.622 -3.320 12.644
Y -0.161 -2.691 0.693
Y -11.237 -4.525 19.306
Y -4.910 -3.696 11.774
Y -6.490 -3.517 8.220
Y -1.065 -1.717 4.330
Y -10.334 -5.499 15.667
Y -8.203 -5.219 13.130
Y -3.197 -1.994 6.865
Y 0.962 -4.811 3.757
Y -12.362 -2.404 16.242
Y -8.336 -1.877 11.448
Y -3.064 -5.336 8.546
Si -1.917 -4.324 5.507
Si -9.483 -2.890 14.490
S 0.003 -0.003 0.003
S -12.662 -5.065 17.005
S 1.264 -2.151 2.993
S -5.678 -2.657 5.791
S -5.722 -4.556 14.203
S -7.424 -0.972 8.838
S -4.044 -2.843 9.306
S -7.356 -4.370 10.688
S -8.913 -4.974 18.003
S -2.485 -2.241 1.995
```

---

VASP calculation (PBE-GGA) on YSi2S6 after structural relaxation.

Computed properties:
SG ... C2/c, No. 15

```
18
Lattice="6.302 -0.270 -0.261 1.469 8.315 0.113 1.469 0.383 8.307" Properties=species:S:1:pos:R:3 pbc="T T T"
Y 3.045 1.290 7.235
Y 6.196 7.138 0.924
Si 3.266 5.574 6.571
Si 2.823 1.815 2.931
Si 5.975 2.854 1.588
Si 6.417 6.613 5.227
S 4.343 6.125 4.759
S 1.747 3.607 2.322
S 4.898 2.303 3.400
S 7.494 4.820 5.837
S 7.290 7.168 3.395
S 5.102 4.667 0.974
S 1.951 1.259 4.764
S 4.139 3.760 7.185
S 3.566 7.036 8.078
S 2.524 0.261 1.519
S 5.675 1.392 0.081
S 6.717 8.166 6.639
```

---

VASP calculation (PBE-GGA) on Y2Si2S after structural relaxation.

Computed properties:
SG ... P4/mbm, No. 127
Polymorph energy (0 for the lowest one) ... 0.0 meV per atom

```
10
Lattice="-3.055 6.740 0.556 -1.073 -1.085 7.262 3.756 1.637 0.800" Properties=species:S:1:pos:R:3 pbc="T T T"
Y -1.837 1.238 6.093
Y -3.225 4.749 5.428
Y -2.291 4.416 1.724
Y -0.903 0.905 2.390
S 0.000 0.000 0.000
S -2.064 2.827 3.909
Si 0.896 0.886 4.875
Si -0.937 3.948 7.215
Si -1.268 6.405 3.742
Si 0.565 3.343 1.402
```

---

VASP calculation (PBE-GGA) on Y6SiS12 after structural relaxation.

Computed properties:
SG ... R-3, No. 148

```
19
Lattice="7.686 -0.004 -0.005 -1.170 7.596 -0.005 -1.170 -1.363 7.473" Properties=species:S:1:pos:R:3 pbc="T T T"
Y 3.999 6.087 2.761
Y 4.343 2.030 0.980
Y -0.064 4.384 2.172
Y 1.348 0.142 4.701
Y 1.004 4.199 6.482
Y 5.410 1.846 5.290
Si 0.000 0.000 0.000
S 5.152 3.668 3.136
S 1.621 5.461 4.170
S 2.845 2.076 6.118
S 0.194 2.561 4.327
S 3.726 0.768 3.293
S 2.502 4.153 1.344
S -1.058 7.003 2.258
S -1.736 4.010 7.043
S 4.227 7.128 0.168
S 6.404 -0.774 5.204
S 7.083 2.219 0.419
S 1.119 -0.898 7.294
```

---

VASP calculation (PBE-GGA) on YSi2S after structural relaxation.

Computed properties:
SG ... I-42d, No. 122

```
8
Lattice="-2.449 4.621 5.673 1.925 -5.365 5.201 2.166 0.683 5.626" Properties=species:S:1:pos:R:3 pbc="T T T"
Y 0.000 0.000 0.000
Y -0.273 2.466 8.368
S -0.262 -0.372 5.437
S 1.914 -2.527 8.132
Si -0.660 2.221 5.397
Si 1.350 -2.438 5.571
Si 1.498 0.039 8.485
Si 1.096 0.055 13.547
```

---

VASP calculation (PBE-GGA) on Y5SiS4 after structural relaxation.

Computed properties:
SG ... I4/m, No. 87

```
10
Lattice="5.041 0.000 2.431 2.520 6.284 1.216 -0.210 0.000 6.875" Properties=species:S:1:pos:R:3 pbc="T T T"
Y 5.378 2.490 8.186
Y 3.398 5.037 5.850
Y 3.964 1.247 4.677
Y 1.984 3.793 2.341
Y 2.526 0.000 1.218
Si 0.006 0.000 0.003
S 2.868 2.526 6.950
S 5.934 5.014 7.034
S 1.428 1.270 3.493
S 4.494 3.758 3.578
```

---

VASP calculation (PBE-GGA) on Y8SiS5 after structural relaxation.

Computed properties:
SG ... I-4, No. 82

```
14
Lattice="-4.684 4.286 3.597 -3.286 -6.242 -1.864 5.709 -1.472 4.299" Properties=species:S:1:pos:R:3 pbc="T T T"
Y -6.443 -0.594 2.702
Y -0.983 -1.602 1.263
Y -3.616 -3.355 2.229
Y 2.012 -3.708 2.720
Y -3.351 0.506 3.111
Y 3.711 -0.602 3.684
Y -0.806 -4.060 4.414
Y 0.433 -0.300 4.003
Si -0.781 -4.346 1.650
S 0.063 0.893 6.438
S -1.988 -1.597 4.212
S -1.055 1.425 1.896
S -3.985 -0.978 0.866
S -2.938 2.949 4.978
```

---

VASP calculation (PBE-GGA) on Y2Si2S after structural relaxation.

Computed properties:
SG ... I4/mmm, No. 139
Polymorph energy (0 for the lowest one) ... 601.9 meV per atom

```
5
Lattice="5.499 0.000 0.000 0.000 5.499 0.000 2.749 2.749 3.905" Properties=species:S:1:pos:R:3 pbc="T T T"
Y 5.499 2.749 1.952
Y 2.749 5.499 1.952
S 0.000 0.000 0.000
Si 2.749 2.749 1.216
Si 5.499 5.499 2.688
```

---

VASP calculation (PBE-GGA) on YSi3S after structural relaxation.

Computed properties:
SG ... Pm-3m, No. 221
Polymorph energy (0 for the lowest one) ... 1182.1 meV per atom

```
5
Lattice="5.396 0.000 0.000 0.000 5.396 0.000 0.000 0.000 5.396" Properties=species:S:1:pos:R:3 pbc="T T T"
Y 0.000 0.000 0.000
S 2.698 2.698 2.698
Si 0.000 2.698 0.000
Si 0.000 0.000 2.698
Si 2.698 0.000 0.000
```

---

VASP calculation (PBE-GGA) on YSi3S after structural relaxation.

Computed properties:
SG ... Pm-3m, No. 221
Polymorph energy (0 for the lowest one) ... 0.0 meV per atom

```
5
Lattice="-4.254 -1.113 -1.502 -1.452 -0.385 4.397 -1.178 4.495 0.005" Properties=species:S:1:pos:R:3 pbc="T T T"
Y -3.442 1.498 1.450
S 0.000 0.000 0.000
Si -0.726 -0.193 2.198
Si -0.589 2.247 0.002
Si -2.127 -0.557 -0.751
```

---

VASP calculation (PBE-GGA) on Y4SiS2 after structural relaxation.

Computed properties:
SG ... Pbam, No. 55

```
14
Lattice="-3.141 2.438 0.987 -2.847 -5.185 3.749 5.895 3.705 9.600" Properties=species:S:1:pos:R:3 pbc="T T T"
Y 2.859 -0.316 9.875
Y 0.189 -1.164 3.474
Y 3.863 2.013 7.317
Y -0.815 -3.493 6.033
Y -0.469 -0.617 8.532
Y 0.376 1.576 5.805
Y -3.447 -2.525 3.772
Y 3.354 3.483 10.565
Si 2.947 1.853 4.800
Si -1.423 -2.593 1.875
S 0.661 -0.442 11.694
S -0.754 1.401 2.644
S 1.327 1.674 8.586
S -1.420 -0.716 5.752
```

---

| no. | formation energy from raw total energies (meV per atom) |
| --- | --- |
| 1 | -643 |
| 2 | -1690 |
| 3 | -831 |
| 4 | -954 |
| 5 | -1602 |
| 6 | -94 |
| 7 | -1805 |
| 8 | -1380 |
| 9 | -352 |
| 10 | 1468 |
| 11 | 286 |
| 12 | -1273 |